A geometry-optimized Ga2TcBiI structure. Source: Alexandria via LeMat-Bulk, functional PBE-GGA.

Cell: 5.7126 5.7126 6.0888 Å, 90.00 90.00 90.00°
Atoms (fractional coordinates):
Ga (0.0000, 0.5000, 0.0000)
Ga (0.5000, 0.0000, 0.0000)
Tc (0.0000, 0.0000, 0.5000)
Bi (0.5000, 0.5000, 0.0000)
I (0.5000, 0.5000, 0.5000)

Computed properties:
raw total energy: -0.10872 Ha/atom
DOS(E_F): 1.39 states/eV per atom
size of the total moment: 4.33 μB per cell
space-group type: P4/mmm (123)
formation energy without anion corrections: 1.41 eV per atom

---

A geometry-optimized Hf6Ga2Cu structure. Source: Alexandria via LeMat-Bulk, functional PBE-GGA.

Cell: 5.5572 7.4819 10.1494 Å, 90.00 120.64 90.00°
Atoms (fractional coordinates):
Hf (0.0672, 0.1639, 0.4435)
Hf (0.0672, 0.3361, 0.9435)
Hf (0.3450, 0.6926, 0.4463)
Hf (0.3450, 0.8074, 0.9463)
Hf (0.4208, 0.0336, 0.2828)
Hf (0.4208, 0.4664, 0.7828)
Hf (0.5792, 0.5336, 0.2172)
Hf (0.5792, 0.9664, 0.7172)
Hf (0.6550, 0.1926, 0.0537)
Hf (0.6550, 0.3074, 0.5537)
Hf (0.9328, 0.6639, 0.0565)
Hf (0.9328, 0.8361, 0.5565)
Ga (0.1570, 0.1200, 0.7542)
Ga (0.1570, 0.3800, 0.2542)
Ga (0.8430, 0.6200, 0.7458)
Ga (0.8430, 0.8800, 0.2458)
Cu (0.0000, 0.0000, 0.0000)
Cu (0.0000, 0.5000, 0.5000)

Computed properties:
raw total energy: -0.29028 Ha/atom
DOS(E_F): 0.98 states/eV per atom
size of the total moment: 0.00 μB per cell
space-group type: P2_1/c (14)
calculated formation energy: -13.1 kJ/mol of atoms

---

A geometry-optimized Y2MgSn structure. Source: Alexandria via LeMat-Bulk, functional PBE-GGA.

Cell: 4.8932 4.8932 4.4073 Å, 90.00 90.00 90.00°
Atoms (fractional coordinates):
Y (0.0000, 0.5000, 0.0000)
Y (0.5000, 0.0000, 0.0000)
Mg (0.0000, 0.0000, 0.5000)
Sn (0.5000, 0.5000, 0.5000)

Computed properties:
raw total energy: -0.18721 Ha/atom
DOS(E_F): 0.68 states/eV per atom
size of the total moment: 0.00 μB per cell
space-group type: P4/mmm (123)
calculated formation energy: -44.7 kJ/mol of atoms

---

A geometry-optimized ZrSnRh3 structure. Source: Alexandria via LeMat-Bulk, functional PBE-GGA.

Cell: 4.8176 4.8176 4.8176 Å, 90.00 90.00 90.00°
Atoms (fractional coordinates):
Zr (0.0000, 0.0000, 0.0000)
Sn (0.5000, 0.5000, 0.5000)
Rh (0.0000, 0.0000, 0.5000)
Rh (0.0000, 0.5000, 0.0000)
Rh (0.5000, 0.0000, 0.0000)

Computed properties:
raw total energy: -0.23044 Ha/atom
DOS(E_F): 0.79 states/eV per atom
offset from the most stable computed form: 1102 meV/atom
size of the total moment: 0.00 μB per cell
space-group type: Pm-3m (221)
calculated formation energy: 62.8 kJ/mol of atoms

---

A geometry-optimized TlBi2Rh structure. Source: Alexandria via LeMat-Bulk, functional PBE-GGA.

Cell: 3.4140 3.4140 8.8870 Å, 90.00 90.00 90.00°
Atoms (fractional coordinates):
Tl (0.0000, 0.0000, 0.0000)
Bi (0.5000, 0.5000, 0.3111)
Bi (0.5000, 0.5000, 0.6889)
Rh (0.0000, 0.0000, 0.5000)

Computed properties:
raw total energy: -0.16420 Ha/atom
DOS(E_F): 0.57 states/eV per atom
offset from the most stable computed form: 0 meV/atom
size of the total moment: 0.00 μB per cell
space-group type: P4/mmm (123)
calculated formation energy: -9.5 kJ/mol of atoms

---

A geometry-optimized CaP2W structure. Source: Alexandria via LeMat-Bulk, functional PBE-GGA.

Cell: 4.7121 4.7121 3.2139 Å, 100.84 100.84 96.19°
Atoms (fractional coordinates):
Ca (0.0000, 0.0000, 0.0000)
P (0.0000, 0.5000, 0.5000)
P (0.5000, 0.0000, 0.5000)
W (0.5000, 0.5000, 0.0000)

Computed properties:
raw total energy: -0.23489 Ha/atom
DOS(E_F): 0.49 states/eV per atom
offset from the most stable computed form: 614 meV/atom
size of the total moment: 0.00 μB per cell
space-group type: C2/m (12)
calculated formation energy: 5.0 kJ/mol of atoms

---

A geometry-optimized CdCuOs structure. Source: Alexandria via LeMat-Bulk, functional PBE-GGA.

Cell: 4.2046 4.2046 4.2046 Å, 60.00 60.00 60.00°
Atoms (fractional coordinates):
Cd (0.0000, 0.0000, 0.0000)
Cu (0.7500, 0.7500, 0.7500)
Os (0.5000, 0.5000, 0.5000)

Computed properties:
raw total energy: -0.16229 Ha/atom
DOS(E_F): 1.61 states/eV per atom
offset from the most stable computed form: 572 meV/atom
size of the total moment: 1.48 μB per cell
space-group type: F-43m (216)
calculated formation energy: 96.2 kJ/mol of atoms

---

A geometry-optimized AcBIrRh2 structure. Source: Alexandria via LeMat-Bulk, functional PBE-GGA.

Cell: 4.3932 4.3932 4.2882 Å, 90.00 90.00 90.00°
Atoms (fractional coordinates):
Ac (0.0000, 0.0000, 0.0000)
B (0.5000, 0.5000, 0.5000)
Ir (0.5000, 0.5000, 0.0000)
Rh (0.0000, 0.5000, 0.5000)
Rh (0.5000, 0.0000, 0.5000)

Computed properties:
raw total energy: -0.27253 Ha/atom
DOS(E_F): 0.96 states/eV per atom
size of the total moment: 0.00 μB per cell
space-group type: P4/mmm (123)
calculated formation energy: -52.7 kJ/mol of atoms

---

A geometry-optimized InGaRe2I structure. Source: Alexandria via LeMat-Bulk, functional PBE-GGA.

Cell: 4.9138 4.9138 6.0481 Å, 90.00 90.00 90.00°
Atoms (fractional coordinates):
In (0.0000, 0.0000, 0.0000)
Ga (0.5000, 0.5000, 0.0000)
Re (0.0000, 0.5000, 0.5000)
Re (0.5000, 0.0000, 0.5000)
I (0.0000, 0.0000, 0.5000)

Computed properties:
raw total energy: -0.15060 Ha/atom
DOS(E_F): 0.86 states/eV per atom
size of the total moment: 2.68 μB per cell
space-group type: P4/mmm (123)
formation energy without anion corrections: 2.34 eV per atom

---

A geometry-optimized PmSm structure. Source: Alexandria via LeMat-Bulk, functional PBE-GGA.

Cell: 3.6874 3.6874 5.8537 Å, 90.00 90.00 120.00°
Atoms (fractional coordinates):
Pm (0.0000, 0.0000, 0.0000)
Sm (0.6667, 0.3333, 0.5000)

Computed properties:
raw total energy: -0.17301 Ha/atom
DOS(E_F): 1.75 states/eV per atom
offset from the most stable computed form: 13 meV/atom
size of the total moment: 0.00 μB per cell
space-group type: P-6m2 (187)
calculated formation energy: 2.6 kJ/mol of atoms

---

A geometry-optimized TaTc2Ir structure. Source: Alexandria via LeMat-Bulk, functional PBE-GGA.

Cell: 3.9135 3.9135 4.0108 Å, 90.00 90.00 90.00°
Atoms (fractional coordinates):
Ta (0.0000, 0.0000, 0.0000)
Tc (0.0000, 0.5000, 0.5000)
Tc (0.5000, 0.0000, 0.5000)
Ir (0.5000, 0.5000, 0.0000)

Computed properties:
raw total energy: -0.39038 Ha/atom
DOS(E_F): 1.09 states/eV per atom
offset from the most stable computed form: 0 meV/atom
size of the total moment: 0.00 μB per cell
space-group type: P4/mmm (123)
calculated formation energy: -25.2 kJ/mol of atoms

---

A geometry-optimized Ac3GaNi3 structure. Source: Alexandria via LeMat-Bulk, functional PBE-GGA.

Cell: 5.9948 5.9948 14.2359 Å, 90.00 90.00 139.57°
Atoms (fractional coordinates):
Ac (0.9997, 0.0003, 0.2500)
Ac (0.0003, 0.9997, 0.7500)
Ac (0.2766, 0.7234, 0.6059)
Ac (0.2766, 0.7234, 0.8941)
Ac (0.7234, 0.2766, 0.1059)
Ac (0.7234, 0.2766, 0.3941)
Ga (0.0000, 0.0000, 0.0000)
Ga (0.0000, 0.0000, 0.5000)
Ni (0.3097, 0.6903, 0.2500)
Ni (0.4343, 0.5657, 0.0833)
Ni (0.4343, 0.5657, 0.4167)
Ni (0.5657, 0.4343, 0.5833)
Ni (0.5657, 0.4343, 0.9167)
Ni (0.6903, 0.3097, 0.7500)

Computed properties:
raw total energy: -0.18416 Ha/atom
DOS(E_F): 0.74 states/eV per atom
offset from the most stable computed form: 0 meV/atom
size of the total moment: 0.00 μB per cell
space-group type: Cmcm (63)
calculated formation energy: -32.8 kJ/mol of atoms

---

A geometry-optimized CdTc structure. Source: Alexandria via LeMat-Bulk, functional PBE-GGA.

Cell: 5.1280 5.1280 5.1280 Å, 32.31 32.31 32.31°
Atoms (fractional coordinates):
Cd (0.0000, 0.0000, 0.0000)
Tc (0.5000, 0.5000, 0.5000)

Computed properties:
raw total energy: -0.18743 Ha/atom
DOS(E_F): 1.28 states/eV per atom
offset from the most stable computed form: 428 meV/atom
size of the total moment: 0.35 μB per cell
space-group type: R-3m (166)
calculated formation energy: 52.1 kJ/mol of atoms

---

A geometry-optimized InPb2S4 structure. Source: Alexandria via LeMat-Bulk, functional PBE-GGA.

Cell: 8.0577 8.0577 8.0577 Å, 143.35 143.35 52.81°
Atoms (fractional coordinates):
In (0.0000, 0.0000, 0.0000)
Pb (0.3676, 0.3676, 0.0000)
Pb (0.6324, 0.6324, 0.0000)
S (0.0000, 0.5000, 0.5000)
S (0.1788, 0.1788, 0.0000)
S (0.5000, 0.0000, 0.5000)
S (0.8212, 0.8212, 0.0000)

Computed properties:
raw total energy: -0.14603 Ha/atom
DOS(E_F): 1.05 states/eV per atom
offset from the most stable computed form: 132 meV/atom
size of the total moment: 0.00 μB per cell
space-group type: I4/mmm (139)
formation energy without anion corrections: -0.16 eV per atom

---

A geometry-optimized Li7ErHg4 structure. Source: Alexandria via LeMat-Bulk, functional PBE-GGA.

Cell: 7.4365 7.4365 8.5397 Å, 124.60 124.60 39.49°
Atoms (fractional coordinates):
Li (0.0000, 0.0000, 0.0000)
Li (0.2016, 0.2016, 0.6549)
Li (0.2909, 0.2909, 0.1210)
Li (0.4372, 0.4372, 0.5768)
Li (0.5628, 0.5628, 0.4232)
Li (0.7091, 0.7091, 0.8790)
Li (0.7984, 0.7984, 0.3451)
Er (0.5000, 0.5000, 0.0000)
Hg (0.0582, 0.0582, 0.7620)
Hg (0.1959, 0.1959, 0.3341)
Hg (0.8041, 0.8041, 0.6659)
Hg (0.9418, 0.9418, 0.2380)

Computed properties:
raw total energy: -0.06310 Ha/atom
DOS(E_F): 0.39 states/eV per atom
size of the total moment: 0.00 μB per cell
space-group type: C2/m (12)
calculated formation energy: -11.6 kJ/mol of atoms

---

A geometry-optimized CsCd2SnSe4 structure. Source: Alexandria via LeMat-Bulk, functional PBE-GGA.

Cell: 7.1943 7.1943 7.1943 Å, 117.83 117.83 93.80°
Atoms (fractional coordinates):
Cs (0.0000, 0.0000, 0.0000)
Cd (0.2500, 0.7500, 0.5000)
Cd (0.7500, 0.2500, 0.5000)
Sn (0.5000, 0.5000, 0.0000)
Se (0.1401, 0.5352, 0.0000)
Se (0.4648, 0.4648, 0.6049)
Se (0.5352, 0.1401, 0.0000)
Se (0.8599, 0.8599, 0.3951)

Computed properties:
raw total energy: -0.11544 Ha/atom
DOS(E_F): 0.42 states/eV per atom
size of the total moment: 0.00 μB per cell
space-group type: I-42m (121)
formation energy without anion corrections: -0.56 eV per atom

---

A geometry-optimized Ti3NiIr structure. Source: Alexandria via LeMat-Bulk, functional PBE-GGA.

Cell: 4.7083 4.7083 4.7083 Å, 90.00 90.00 90.00°
Atoms (fractional coordinates):
Ti (0.0000, 0.0000, 0.5000)
Ti (0.0000, 0.5000, 0.0000)
Ti (0.5000, 0.0000, 0.0000)
Ni (0.5000, 0.5000, 0.5000)
Ir (0.0000, 0.0000, 0.0000)

Computed properties:
raw total energy: -0.26061 Ha/atom
DOS(E_F): 2.01 states/eV per atom
offset from the most stable computed form: 257 meV/atom
size of the total moment: 0.00 μB per cell
space-group type: Pm-3m (221)
calculated formation energy: 55.4 kJ/mol of atoms

---

A geometry-optimized BiSb2ICl structure. Source: Alexandria via LeMat-Bulk, functional PBE-GGA.

Cell: 5.5067 5.5067 5.4024 Å, 90.00 90.00 90.00°
Atoms (fractional coordinates):
Bi (0.0000, 0.0000, 0.0000)
Sb (0.0000, 0.5000, 0.5000)
Sb (0.5000, 0.0000, 0.5000)
I (0.5000, 0.5000, 0.0000)
Cl (0.5000, 0.5000, 0.5000)

Computed properties:
raw total energy: -0.08930 Ha/atom
DOS(E_F): 0.84 states/eV per atom
offset from the most stable computed form: 84 meV/atom
size of the total moment: 0.00 μB per cell
space-group type: P4/mmm (123)
formation energy without anion corrections: 0.67 eV per atom

---

A geometry-optimized Nd2Sn3Pd2 structure. Source: Alexandria via LeMat-Bulk, functional PBE-GGA.

Cell: 10.2301 10.2301 7.4621 Å, 90.00 90.00 154.18°
Atoms (fractional coordinates):
Nd (0.0448, 0.9552, 0.7500)
Nd (0.1616, 0.8384, 0.2500)
Nd (0.8384, 0.1616, 0.7500)
Nd (0.9552, 0.0448, 0.2500)
Sn (0.2165, 0.7835, 0.7500)
Sn (0.4305, 0.5695, 0.5545)
Sn (0.4305, 0.5695, 0.9455)
Sn (0.5695, 0.4305, 0.0545)
Sn (0.5695, 0.4305, 0.4455)
Sn (0.7835, 0.2165, 0.2500)
Pd (0.2988, 0.7012, 0.0474)
Pd (0.2988, 0.7012, 0.4526)
Pd (0.7012, 0.2988, 0.5474)
Pd (0.7012, 0.2988, 0.9526)

Computed properties:
raw total energy: -0.19658 Ha/atom
DOS(E_F): 0.51 states/eV per atom
offset from the most stable computed form: 0 meV/atom
size of the total moment: 0.00 μB per cell
space-group type: Cmcm (63)
calculated formation energy: -76.0 kJ/mol of atoms

---

A geometry-optimized BaCd3In2 structure. Source: Alexandria via LeMat-Bulk, functional PBE-GGA.

Cell: 9.4155 9.4155 8.6026 Å, 117.09 117.09 31.45°
Atoms (fractional coordinates):
Ba (0.1381, 0.1381, 0.1368)
Ba (0.8619, 0.8619, 0.8632)
Cd (0.0005, 0.0005, 0.3368)
Cd (0.3311, 0.3311, 0.5261)
Cd (0.3325, 0.3325, 0.1400)
Cd (0.6675, 0.6675, 0.8600)
Cd (0.6689, 0.6689, 0.4739)
Cd (0.9995, 0.9995, 0.6632)
In (0.1868, 0.1868, 0.6865)
In (0.5004, 0.5004, 0.1699)
In (0.4996, 0.4996, 0.8301)
In (0.8132, 0.8132, 0.3135)

Computed properties:
raw total energy: -0.07030 Ha/atom
DOS(E_F): 0.52 states/eV per atom
offset from the most stable computed form: 26 meV/atom
size of the total moment: 0.00 μB per cell
space-group type: C2/m (12)
calculated formation energy: -21.4 kJ/mol of atoms